(1)
VASP calculation (PBE) on a relaxed structure of Li4Ag4Pb.

a = 6.0474 Å, b = 6.0474 Å, c = 9.6443 Å
α = 90.00°, β = 90.00°, γ = 90.00°
Element x y z (fractional)
Li (0.5000, 0.7651, 0.7794)
Li (0.5000, 0.2349, 0.7794)
Li (0.7651, 0.5000, 0.2206)
Li (0.2349, 0.5000, 0.2206)
Li (0.2651, 0.0000, 0.2794)
Li (0.7349, 0.0000, 0.2794)
Li (0.0000, 0.2651, 0.7206)
Li (0.0000, 0.7349, 0.7206)
Ag (0.2247, 0.5000, 0.9230)
Ag (0.7753, 0.5000, 0.9230)
Ag (0.5000, 0.7753, 0.0770)
Ag (0.5000, 0.2247, 0.0770)
Ag (0.0000, 0.7247, 0.4230)
Ag (0.0000, 0.2753, 0.4230)
Ag (0.2753, 0.0000, 0.5770)
Ag (0.7247, 0.0000, 0.5770)
Pb (0.0000, 0.0000, 0.0000)
Pb (0.5000, 0.5000, 0.5000)

Output
Final energy = -47.1 eV for the cell shown
Space-group type = P4_2/nmc, No. 137
N(E_F) = 3.7 states/eV/cell
Distance to the lowest polymorph of the same formula = 45 meV/atom
Energy of formation = -9 kJ per mole of atoms

(2)
VASP calculation (PBE) on a relaxed structure of LiAgPb2.

a = 6.0709 Å, b = 6.0709 Å, c = 6.0709 Å
α = 144.64°, β = 132.02°, γ = 60.99°
Element x y z (fractional)
Pb (0.0136, 0.0136, 0.0000)
Pb (0.7400, 0.2400, 0.5000)
Ag (0.4767, 0.4767, 0.0000)
Li (0.2697, 0.7697, 0.5000)

Output
Final energy = -12.5 eV for the cell shown
Space-group type = Imm2, No. 44
N(E_F) = 1.3 states/eV/cell
Energy of formation = -7 kJ per mole of atoms

(3)
VASP calculation (PBE) on a relaxed structure of Li2AgPb4.

a = 9.1879 Å, b = 6.5739 Å, c = 7.2399 Å
α = 117.00°, β = 90.00°, γ = 90.00°
Element x y z (fractional)
Li (0.0000, 0.6231, 0.2463)
Li (0.0000, 0.3769, 0.7537)
Li (0.5000, 0.8769, 0.7537)
Li (0.5000, 0.1231, 0.2463)
Ag (0.0000, 0.0000, 0.0000)
Ag (0.5000, 0.5000, 0.0000)
Pb (0.7499, 0.7504, 0.0000)
Pb (0.7500, 0.4981, 0.5000)
Pb (0.7500, 0.9981, 0.5000)
Pb (0.7501, 0.2504, 0.0000)
Pb (0.2499, 0.7496, 0.0000)
Pb (0.2500, 0.0019, 0.5000)
Pb (0.2500, 0.5019, 0.5000)
Pb (0.2501, 0.2496, 0.0000)

Output
Final energy = -42.6 eV for the cell shown
Space-group type = Cmce, No. 64
N(E_F) = 4.9 states/eV/cell
Energy of formation = 3 kJ per mole of atoms

(4)
VASP calculation (PBE) on a relaxed structure of Li2AgPb2.

a = 4.8173 Å, b = 5.9245 Å, c = 8.8854 Å
α = 73.64°, β = 74.27°, γ = 66.01°
Element x y z (fractional)
Li (0.3478, 0.2457, 0.0588)
Li (0.5363, 0.2836, 0.6438)
Li (0.6522, 0.7543, 0.9412)
Li (0.4637, 0.7164, 0.3562)
Ag (0.7381, 0.3092, 0.2146)
Ag (0.2619, 0.6908, 0.7854)
Pb (0.9533, 0.2390, 0.8544)
Pb (0.1642, 0.2356, 0.4360)
Pb (0.0467, 0.7610, 0.1456)
Pb (0.8358, 0.7644, 0.5640)

Output
Final energy = -29.7 eV for the cell shown
Space-group type = C2/m, No. 12
N(E_F) = 2.9 states/eV/cell
Distance to the lowest polymorph of the same formula = 0 meV/atom
Energy of formation = -14 kJ per mole of atoms

(5)
VASP calculation (PBE) on a relaxed structure of LiAgPb2.

a = 5.8891 Å, b = 5.8891 Å, c = 5.1198 Å
α = 73.10°, β = 73.10°, γ = 34.00°
Element x y z (fractional)
Pb (0.0130, 0.0130, 0.9508)
Pb (0.2397, 0.2397, 0.2947)
Ag (0.4777, 0.4777, 0.4799)
Li (0.7696, 0.7696, 0.7746)

Output
Final energy = -12.5 eV for the cell shown
Space-group type = Cm, No. 8
N(E_F) = 1.5 states/eV/cell
Energy of formation = -8 kJ per mole of atoms

(6)
VASP calculation (PBE) on a relaxed structure of Li7Ag5Pb.

a = 5.5499 Å, b = 7.2094 Å, c = 7.2094 Å
α = 82.64°, β = 67.36°, γ = 67.36°
Element x y z (fractional)
Li (0.6064, 0.3936, 0.3936)
Li (0.2638, 0.7362, 0.7362)
Li (0.0111, 0.3063, 0.6715)
Li (0.0111, 0.6715, 0.3063)
Li (0.2682, 0.2318, 0.2318)
Li (0.5250, 0.8112, 0.1388)
Li (0.5250, 0.1388, 0.8112)
Ag (0.5136, 0.9960, 0.4740)
Ag (0.0165, 0.9960, 0.4740)
Ag (0.5136, 0.4740, 0.9960)
Ag (0.0165, 0.4740, 0.9960)
Ag (0.7803, 0.7197, 0.7197)
Pb (0.9487, 0.0513, 0.0513)

Output
Final energy = -33.4 eV for the cell shown
Space-group type = Imm2, No. 44
N(E_F) = 3.3 states/eV/cell
Energy of formation = -15 kJ per mole of atoms

(7)
VASP calculation (PBE) on a relaxed structure of Li4AgPb.

a = 4.6725 Å, b = 5.7527 Å, c = 8.5177 Å
α = 70.26°, β = 90.00°, γ = 90.00°
Element x y z (fractional)
Li (0.2500, 0.7854, 0.4191)
Li (0.2500, 0.9571, 0.0870)
Li (0.7500, 0.7046, 0.5809)
Li (0.7500, 0.5441, 0.9130)
Li (0.7500, 0.2146, 0.5809)
Li (0.2500, 0.2954, 0.4191)
Li (0.7500, 0.0429, 0.9130)
Li (0.2500, 0.4559, 0.0870)
Ag (0.7500, 0.1155, 0.2690)
Ag (0.2500, 0.8845, 0.7310)
Pb (0.7500, 0.6312, 0.2377)
Pb (0.2500, 0.3688, 0.7623)

Output
Final energy = -31.4 eV for the cell shown
Space-group type = Cmcm, No. 63
N(E_F) = 3.4 states/eV/cell
Distance to the lowest polymorph of the same formula = 0 meV/atom
Energy of formation = -24 kJ per mole of atoms

(8)
VASP calculation (PBE) on a relaxed structure of Li2AgPb2.

a = 5.7697 Å, b = 5.4023 Å, c = 4.1411 Å
α = 67.36°, β = 68.23°, γ = 79.40°
Element x y z (fractional)
Li (0.3669, 0.3028, 0.4156)
Li (0.6331, 0.6972, 0.5844)
Ag (0.0000, 0.5000, 0.0000)
Pb (0.7803, 0.1228, 0.8015)
Pb (0.2197, 0.8772, 0.1985)

Output
Final energy = -14.8 eV for the cell shown
Space-group type = P-1, No. 2
N(E_F) = 1.5 states/eV/cell
Distance to the lowest polymorph of the same formula = 5 meV/atom
Energy of formation = -14 kJ per mole of atoms

(9)
VASP calculation (PBE) on a relaxed structure of Li6AgPb.

a = 4.8418 Å, b = 5.9021 Å, c = 5.9021 Å
α = 120.03°, β = 90.00°, γ = 90.00°
Element x y z (fractional)
Li (0.0000, 0.0948, 0.4231)
Li (0.0000, 0.5769, 0.9052)
Li (0.0000, 0.5768, 0.4232)
Li (0.5000, 0.4095, 0.0792)
Li (0.5000, 0.9208, 0.5905)
Li (0.5000, 0.9207, 0.0793)
Ag (0.0000, 0.0834, 0.9166)
Pb (0.5000, 0.4168, 0.5832)

Output
Final energy = -19.7 eV for the cell shown
Space-group type = P-6m2, No. 187
N(E_F) = 3.6 states/eV/cell
Distance to the lowest polymorph of the same formula = 0 meV/atom
Energy of formation = -21 kJ per mole of atoms

(10)
VASP calculation (PBE) on a relaxed structure of Li3AgPb4.

a = 3.4615 Å, b = 8.7041 Å, c = 7.9058 Å
α = 123.38°, β = 102.65°, γ = 90.00°
Element x y z (fractional)
Li (0.0000, 0.5000, 0.0000)
Li (0.1741, 0.1741, 0.3481)
Li (0.8259, 0.8259, 0.6519)
Ag (0.5000, 0.0000, 0.0000)
Pb (0.3628, 0.5776, 0.7255)
Pb (0.6372, 0.4224, 0.2745)
Pb (0.6373, 0.8521, 0.2745)
Pb (0.3627, 0.1479, 0.7255)

Output
Final energy = -24.5 eV for the cell shown
Space-group type = Immm, No. 71
N(E_F) = 3.4 states/eV/cell
Distance to the lowest polymorph of the same formula = 40 meV/atom
Energy of formation = -12 kJ per mole of atoms

(11)
VASP calculation (PBE) on a relaxed structure of Li7AgPb4.

a = 5.0485 Å, b = 9.7984 Å, c = 6.0046 Å
α = 77.32°, β = 65.14°, γ = 75.07°
Element x y z (fractional)
Li (0.7894, 0.9356, 0.4857)
Li (0.2106, 0.0644, 0.5143)
Li (0.0787, 0.6936, 0.1491)
Li (0.9213, 0.3064, 0.8509)
Li (0.3708, 0.5079, 0.7505)
Li (0.5000, 0.0000, 0.0000)
Li (0.6292, 0.4921, 0.2495)
Ag (0.0000, 0.0000, 0.0000)
Pb (0.5924, 0.2269, 0.5883)
Pb (0.4076, 0.7731, 0.4117)
Pb (0.7639, 0.6717, 0.8004)
Pb (0.2361, 0.3283, 0.1996)

Output
Final energy = -33.1 eV for the cell shown
Space-group type = C2/m, No. 12
N(E_F) = 3.0 states/eV/cell
Energy of formation = -16 kJ per mole of atoms

(12)
VASP calculation (PBE) on a relaxed structure of Li4Ag7Pb.

a = 5.7165 Å, b = 5.3000 Å, c = 8.3807 Å
α = 75.87°, β = 62.92°, γ = 92.00°
Element x y z (fractional)
Li (0.4971, 0.6621, 0.3320)
Li (0.5029, 0.3379, 0.6680)
Li (0.7524, 0.8270, 0.6727)
Li (0.2476, 0.1730, 0.3273)
Ag (0.7446, 0.4975, 0.9986)
Ag (0.2554, 0.5025, 0.0014)
Ag (0.0183, 0.3357, 0.6488)
Ag (0.9817, 0.6643, 0.3512)
Ag (0.2650, 0.8302, 0.6458)
Ag (0.5000, 0.0000, 0.0000)
Ag (0.7350, 0.1698, 0.3542)
Pb (0.0000, 0.0000, 0.0000)

Output
Final energy = -32.7 eV for the cell shown
Space-group type = P-1, No. 2
N(E_F) = 2.5 states/eV/cell
Distance to the lowest polymorph of the same formula = 0 meV/atom
Energy of formation = -11 kJ per mole of atoms